## 1
Material: MnAgHPt2
Method: DFT, PBE-GGA
State: relaxed

Structure (CIF):
```
data_MnAgHPt2
_symmetry_space_group_name_H-M 'P 4/m m m'
_symmetry_Int_Tables_number 123
_symmetry_space_group_name_Hall '-P 4 2'
_cell_length_a 4.018
_cell_length_b 4.018
_cell_length_c 4.089
_cell_angle_alpha 90.00
_cell_angle_beta 90.00
_cell_angle_gamma 90.00
loop_
_atom_site_label
_atom_site_type_symbol
_atom_site_fract_x
_atom_site_fract_y
_atom_site_fract_z
Mn1 Mn 0.000 0.000 0.000
Ag1 Ag 0.500 0.500 0.000
H1 H 0.000 0.000 0.500
Pt1 Pt 0.000 0.500 0.500
```

## Properties
As for the crystal system: tetragonal.



## 2
Material: MnAgHPt2
Method: DFT, PBE-GGA
State: relaxed

Structure (CIF):
```
data_MnAgHPt2
_symmetry_space_group_name_H-M 'P 4/m m m'
_symmetry_Int_Tables_number 123
_symmetry_space_group_name_Hall '-P 4 2'
_cell_length_a 4.030
_cell_length_b 4.030
_cell_length_c 4.110
_cell_angle_alpha 90.00
_cell_angle_beta 90.00
_cell_angle_gamma 90.00
loop_
_atom_site_label
_atom_site_type_symbol
_atom_site_fract_x
_atom_site_fract_y
_atom_site_fract_z
Mn1 Mn 0.000 0.000 0.000
Ag1 Ag 0.500 0.500 0.000
H1 H 0.500 0.500 0.500
Pt1 Pt 0.000 0.500 0.500
```

## Properties
As for the crystal system: tetragonal.



Which structure is the most stable? The one labeled 1.



## 1
Material: Mn2AgHRh
Method: DFT, PBE-GGA
State: relaxed

Structure (CIF):
```
data_Mn2AgHRh
_symmetry_space_group_name_H-M 'P 4/m m m'
_symmetry_Int_Tables_number 123
_symmetry_space_group_name_Hall '-P 4 2'
_cell_length_a 4.039
_cell_length_b 4.039
_cell_length_c 3.863
_cell_angle_alpha 90.00
_cell_angle_beta 90.00
_cell_angle_gamma 90.00
loop_
_atom_site_label
_atom_site_type_symbol
_atom_site_fract_x
_atom_site_fract_y
_atom_site_fract_z
Mn1 Mn 0.000 0.500 0.000
Ag1 Ag 0.000 0.000 0.500
H1 H 0.000 0.000 0.000
Rh1 Rh 0.500 0.500 0.500
```

## Properties
As for the crystal system: tetragonal.



## 2
Material: Mn2AgHRh
Method: DFT, PBE-GGA
State: relaxed

Structure (CIF):
```
data_Mn2AgHRh
_symmetry_space_group_name_H-M 'P 4/m m m'
_symmetry_Int_Tables_number 123
_symmetry_space_group_name_Hall '-P 4 2'
_cell_length_a 4.197
_cell_length_b 4.197
_cell_length_c 3.637
_cell_angle_alpha 90.00
_cell_angle_beta 90.00
_cell_angle_gamma 90.00
loop_
_atom_site_label
_atom_site_type_symbol
_atom_site_fract_x
_atom_site_fract_y
_atom_site_fract_z
Mn1 Mn 0.000 0.500 0.000
Ag1 Ag 0.000 0.000 0.500
H1 H 0.500 0.500 0.000
Rh1 Rh 0.500 0.500 0.500
```

## Properties
As for the crystal system: tetragonal.



Which structure is the most stable? The one labeled 2.



## 1
Material: AgMo2H
Method: DFT, PBE-GGA
State: relaxed

Structure (CIF):
```
data_AgMo2H
_symmetry_space_group_name_H-M 'F m -3 m'
_symmetry_Int_Tables_number 225
_symmetry_space_group_name_Hall '-F 4 2 3'
_cell_length_a 6.103
_cell_length_b 6.103
_cell_length_c 6.103
_cell_angle_alpha 90.00
_cell_angle_beta 90.00
_cell_angle_gamma 90.00
loop_
_atom_site_label
_atom_site_type_symbol
_atom_site_fract_x
_atom_site_fract_y
_atom_site_fract_z
Ag1 Ag 0.000 0.000 0.000
Mo1 Mo 0.250 0.250 0.250
H1 H 0.000 0.000 0.500
```

## Properties
As for the crystal system: cubic.



## 2
Material: AgMo2H
Method: DFT, PBE-GGA
State: relaxed

Structure (CIF):
```
data_AgMo2H
_symmetry_space_group_name_H-M 'I -4 2 d'
_symmetry_Int_Tables_number 122
_symmetry_space_group_name_Hall 'I -4 2bw'
_cell_length_a 5.582
_cell_length_b 5.582
_cell_length_c 7.627
_cell_angle_alpha 90.00
_cell_angle_beta 90.00
_cell_angle_gamma 90.00
loop_
_atom_site_label
_atom_site_type_symbol
_atom_site_fract_x
_atom_site_fract_y
_atom_site_fract_z
Ag1 Ag 0.000 0.000 0.000
Mo1 Mo 0.027 0.750 0.625
H1 H 0.000 0.000 0.500
```

## Properties
As for the crystal system: tetragonal.



Which structure is the most stable? The one labeled 2.



## 1
Material: AgH2N
Method: DFT, PBE-GGA
State: relaxed

Structure (CIF):
```
data_AgH2N
_symmetry_space_group_name_H-M 'F m -3 m'
_symmetry_Int_Tables_number 225
_symmetry_space_group_name_Hall '-F 4 2 3'
_cell_length_a 4.997
_cell_length_b 4.997
_cell_length_c 4.997
_cell_angle_alpha 90.00
_cell_angle_beta 90.00
_cell_angle_gamma 90.00
loop_
_atom_site_label
_atom_site_type_symbol
_atom_site_fract_x
_atom_site_fract_y
_atom_site_fract_z
Ag1 Ag 0.000 0.000 0.000
H1 H 0.250 0.250 0.250
N1 N 0.000 0.000 0.500
```

## Properties
As for the crystal system: cubic.



## 2
Material: AgH2N
Method: DFT, PBE-GGA
State: relaxed

Structure (CIF):
```
data_AgH2N
_symmetry_space_group_name_H-M 'R -3 m'
_symmetry_Int_Tables_number 166
_symmetry_space_group_name_Hall '-R 3 2"'
_cell_length_a 2.7131
_cell_length_b 2.7131
_cell_length_c 14.6962
_cell_angle_alpha 90.00
_cell_angle_beta 90.00
_cell_angle_gamma 120.00
loop_
_atom_site_label
_atom_site_type_symbol
_atom_site_fract_x
_atom_site_fract_y
_atom_site_fract_z
Ag1 Ag 0.0000 0.0000 0.0000
H1 H 0.0000 0.0000 0.1633
N1 N 0.0000 0.0000 0.5000
```

## Properties
As for the crystal system: trigonal.



## 3
Material: AgH2N
Method: DFT, PBE-GGA
State: relaxed

Structure (CIF):
```
data_AgH2N
_symmetry_space_group_name_H-M 'I 41/a m d'
_symmetry_Int_Tables_number 141
_cell_length_a 4.265
_cell_length_b 4.265
_cell_length_c 6.928
_cell_angle_alpha 90.00
_cell_angle_beta 90.00
_cell_angle_gamma 90.00
loop_
_symmetry_equiv_pos_as_xyz
'x,y,z'
'-x,-y,-z'
'-y+1/4,x+3/4,z+1/4'
'y+1/4,-x+3/4,-z+1/4'
'-x+1/2,-y,z+1/2'
'x+1/2,y,-z+1/2'
'y+1/4,-x+1/4,z+3/4'
'-y+1/4,x+1/4,-z+3/4'
'x,-y,-z'
'-x,y,z'
'-y+1/4,-x+1/4,-z+3/4'
'y+1/4,x+1/4,z+3/4'
'-x+1/2,y,-z+1/2'
'x+1/2,-y,z+1/2'
'y+1/4,x+3/4,-z+1/4'
'-y+1/4,-x+3/4,z+1/4'
'x+1/2,y+1/2,z+1/2'
'-x+1/2,-y+1/2,-z+1/2'
'-y+3/4,x+1/4,z+3/4'
'y+3/4,-x+1/4,-z+3/4'
'-x,-y+1/2,z'
'x,y+1/2,-z'
'y+3/4,-x+3/4,z+1/4'
'-y+3/4,x+3/4,-z+1/4'
'x+1/2,-y+1/2,-z+1/2'
'-x+1/2,y+1/2,z+1/2'
'-y+3/4,-x+3/4,-z+1/4'
'y+3/4,x+3/4,z+1/4'
'-x,y+1/2,-z'
'x,-y+1/2,z'
'y+3/4,x+1/4,-z+3/4'
'-y+3/4,-x+1/4,z+3/4'
loop_
_atom_site_label
_atom_site_type_symbol
_atom_site_fract_x
_atom_site_fract_y
_atom_site_fract_z
Ag1 Ag 0.000 0.250 0.375
H1 H 0.000 0.000 0.000
N1 N 0.000 0.250 0.875
```

## Properties
As for the crystal system: tetragonal.



Which structure is the most stable? The one labeled 3.



## 1
Material: Ag2H2N
Method: DFT, PBE-GGA
State: relaxed

Structure (CIF):
```
data_Ag2H2N
_symmetry_space_group_name_H-M 'P 4/m m m'
_symmetry_Int_Tables_number 123
_symmetry_space_group_name_Hall '-P 4 2'
_cell_length_a 4.335
_cell_length_b 4.335
_cell_length_c 3.563
_cell_angle_alpha 90.00
_cell_angle_beta 90.00
_cell_angle_gamma 90.00
loop_
_atom_site_label
_atom_site_type_symbol
_atom_site_fract_x
_atom_site_fract_y
_atom_site_fract_z
Ag1 Ag 0.000 0.500 0.000
H1 H 0.000 0.500 0.500
N1 N 0.000 0.000 0.000
```

## Properties
As for the crystal system: tetragonal.



## 2
Material: Ag2H2N
Method: DFT, PBE-GGA
State: relaxed

Structure (CIF):
```
data_Ag2H2N
_symmetry_space_group_name_H-M 'I 4/m m m'
_symmetry_Int_Tables_number 139
_symmetry_space_group_name_Hall '-I 4 2'
_cell_length_a 3.094
_cell_length_b 3.094
_cell_length_c 10.575
_cell_angle_alpha 90.00
_cell_angle_beta 90.00
_cell_angle_gamma 90.00
loop_
_atom_site_label
_atom_site_type_symbol
_atom_site_fract_x
_atom_site_fract_y
_atom_site_fract_z
Ag1 Ag 0.000 0.000 0.135
H1 H 0.000 0.500 0.250
N1 N 0.000 0.000 0.500
```

## Properties
As for the crystal system: tetragonal.



Which structure is the most stable? The one labeled 1.



## 1
Material: AgHS2N
Method: DFT, PBE-GGA
State: relaxed

Structure (CIF):
```
data_AgHS2N
_symmetry_space_group_name_H-M 'P 4/m m m'
_symmetry_Int_Tables_number 123
_symmetry_space_group_name_Hall '-P 4 2'
_cell_length_a 3.427
_cell_length_b 3.427
_cell_length_c 7.265
_cell_angle_alpha 90.00
_cell_angle_beta 90.00
_cell_angle_gamma 90.00
loop_
_atom_site_label
_atom_site_type_symbol
_atom_site_fract_x
_atom_site_fract_y
_atom_site_fract_z
Ag1 Ag 0.000 0.000 0.000
H1 H 0.500 0.500 0.500
S1 S 0.000 0.500 0.500
N1 N 0.500 0.500 0.000
```

## Properties
As for the crystal system: tetragonal.



## 2
Material: AgHS2N
Method: DFT, PBE-GGA
State: relaxed

Structure (CIF):
```
data_AgHS2N
_symmetry_space_group_name_H-M 'P 4/m m m'
_symmetry_Int_Tables_number 123
_symmetry_space_group_name_Hall '-P 4 2'
_cell_length_a 4.949
_cell_length_b 4.949
_cell_length_c 4.134
_cell_angle_alpha 90.00
_cell_angle_beta 90.00
_cell_angle_gamma 90.00
loop_
_atom_site_label
_atom_site_type_symbol
_atom_site_fract_x
_atom_site_fract_y
_atom_site_fract_z
Ag1 Ag 0.000 0.000 0.000
H1 H 0.500 0.500 0.500
S1 S 0.000 0.500 0.000
N1 N 0.000 0.000 0.500
```

## Properties
As for the crystal system: tetragonal.



Which structure is the most stable? The one labeled 1.